The following is a PBE calculation of crystalline Be5P at its relaxed geometry, from Alexandria.

extended XYZ file:
```
6
Lattice="0.000 3.033 3.033 3.033 0.000 3.033 3.033 3.033 0.000" Properties=species:S:1:pos:R:3 pbc="T T T"
Be 0.000 0.000 0.000
Be 3.800 2.266 2.266
Be 2.266 3.800 2.266
Be 2.266 2.266 3.800
Be 3.800 3.800 3.800
P 1.517 1.517 1.517
```

## Properties
**Calculated total energy**: -3.696 eV/atom
**Calculated formation energy**: 0.311 eV/atom

The following is a PBE calculation of crystalline BeP at its relaxed geometry, from Alexandria.

extended XYZ file:
```
2
Lattice="3.432 0.000 0.000 -1.716 2.972 0.000 0.000 0.000 2.493" Properties=species:S:1:pos:R:3 pbc="T T T"
Be 0.000 0.000 0.000
P 1.716 0.991 1.247
```

## Properties
**Calculated total energy**: -4.419 eV/atom
**Calculated formation energy**: 0.149 eV/atom

The following is a PBE calculation of crystalline BeP at its relaxed geometry, from Alexandria.

extended XYZ file:
```
8
Lattice="5.661 0.000 0.000 0.000 5.661 0.000 0.000 0.000 3.781" Properties=species:S:1:pos:R:3 pbc="T T T"
Be 1.340 1.340 0.000
Be 1.491 4.170 1.890
Be 4.170 1.491 1.890
Be 4.321 4.321 0.000
P 0.806 4.855 0.000
P 2.025 2.025 1.890
P 3.636 3.636 1.890
P 4.855 0.806 0.000
```

## Properties
**Calculated total energy**: -4.711 eV/atom
**Calculated formation energy**: -0.143 eV/atom

The following is a PBE calculation of crystalline BeP5 at its relaxed geometry, from Alexandria.

extended XYZ file:
```
6
Lattice="0.000 3.515 3.515 3.515 0.000 3.515 3.515 3.515 0.000" Properties=species:S:1:pos:R:3 pbc="T T T"
Be 0.000 0.000 0.000
P 4.397 2.633 2.633
P 1.758 1.758 1.758
P 2.633 4.397 2.633
P 2.633 2.633 4.397
P 4.397 4.397 4.397
```

## Properties
**Calculated total energy**: -4.171 eV/atom
**Calculated formation energy**: 0.959 eV/atom

The following is a PBE calculation of crystalline BeP2 at its relaxed geometry, from Alexandria.

extended XYZ file:
```
6
Lattice="5.188 0.000 0.000 0.000 5.893 0.000 0.000 0.000 2.594" Properties=species:S:1:pos:R:3 pbc="T T T"
Be 0.000 0.000 0.000
Be 2.594 2.947 1.297
P 0.775 2.188 0.000
P 1.819 5.135 1.297
P 3.369 0.758 1.297
P 4.412 3.705 0.000
```

## Properties
**Calculated total energy**: -4.845 eV/atom
**Calculated formation energy**: 0.004 eV/atom

The following is a PBE calculation of crystalline BeP at its relaxed geometry, from Alexandria.

extended XYZ file:
```
4
Lattice="3.194 0.000 0.000 -1.597 2.766 0.000 0.000 0.000 6.492" Properties=species:S:1:pos:R:3 pbc="T T T"
Be 0.000 1.844 0.000
Be 1.597 0.922 3.246
P 0.000 1.844 2.109
P 1.597 0.922 5.355
```

## Properties
**Calculated total energy**: -4.538 eV/atom
**Calculated formation energy**: 0.030 eV/atom

The following is a PBE calculation of crystalline BeP at its relaxed geometry, from Alexandria.

extended XYZ file:
```
4
Lattice="0.000 2.828 2.828 2.828 0.000 2.828 2.828 2.828 0.000" Properties=species:S:1:pos:R:3 pbc="T T T"
Be 0.707 0.707 0.707
Be 4.948 4.948 4.948
P 2.121 2.121 2.121
P 3.535 3.535 3.535
```

## Properties
**Calculated total energy**: -3.963 eV/atom
**Calculated formation energy**: 0.605 eV/atom

The following is a PBE calculation of crystalline BeP2 at its relaxed geometry, from Alexandria.

extended XYZ file:
```
3
Lattice="3.508 0.000 0.000 0.000 3.508 0.000 0.000 0.000 3.336" Properties=species:S:1:pos:R:3 pbc="T T T"
Be 0.000 0.000 0.000
P 0.000 1.754 1.668
P 1.754 0.000 1.668
```

## Properties
**Calculated total energy**: -4.527 eV/atom
**Calculated formation energy**: 0.322 eV/atom

The following is a PBE calculation of crystalline BeP at its relaxed geometry, from Alexandria.

extended XYZ file:
```
2
Lattice="-1.294 1.821 2.924 1.294 -1.821 2.924 1.294 1.821 -2.924" Properties=species:S:1:pos:R:3 pbc="T T T"
Be 0.000 0.000 0.000
P 0.000 1.821 1.119
```

## Properties
**Calculated total energy**: -4.723 eV/atom
**Calculated formation energy**: -0.155 eV/atom

The following is a PBE calculation of crystalline BeP at its relaxed geometry, from Alexandria.

extended XYZ file:
```
8
Lattice="-3.337 3.337 3.337 3.337 -3.337 3.337 3.337 3.337 -3.337" Properties=species:S:1:pos:R:3 pbc="T T T"
Be 2.389 2.389 -2.389
Be 2.389 -2.389 2.389
Be 0.948 0.948 0.948
Be -2.389 2.389 2.389
P 1.195 1.195 -1.195
P 1.195 -1.195 1.195
P -1.195 1.195 1.195
P 2.142 2.142 2.142
```

## Properties
**Calculated total energy**: -4.344 eV/atom
**Calculated formation energy**: 0.224 eV/atom

The following is a PBE calculation of crystalline BeP at its relaxed geometry, from Alexandria.

extended XYZ file:
```
8
Lattice="5.067 0.000 0.000 0.000 3.621 0.000 0.000 0.000 6.217" Properties=species:S:1:pos:R:3 pbc="T T T"
Be 1.087 0.905 0.794
Be 1.447 2.716 3.903
Be 3.620 0.905 2.314
Be 3.981 2.716 5.423
P 0.887 0.905 4.889
P 1.647 2.716 1.780
P 3.420 0.905 4.437
P 4.181 2.716 1.328
```

## Properties
**Calculated total energy**: -4.605 eV/atom
**Calculated formation energy**: -0.037 eV/atom

The following is a PBE calculation of crystalline BeP2 at its relaxed geometry, from Alexandria.

extended XYZ file:
```
6
Lattice="5.236 -1.260 0.000 5.236 1.260 0.000 -2.833 0.000 7.243" Properties=species:S:1:pos:R:3 pbc="T T T"
Be 0.000 0.000 0.000
Be 5.295 0.000 3.211
P 0.095 0.000 5.028
P 2.277 0.000 5.286
P 4.004 0.000 1.508
P 6.515 0.000 1.462
```

## Properties
**Calculated total energy**: -4.660 eV/atom
**Calculated formation energy**: 0.189 eV/atom

The following is a PBE calculation of crystalline BeP at its relaxed geometry, from Alexandria.

extended XYZ file:
```
4
Lattice="2.583 0.000 0.000 -1.291 2.237 0.000 0.000 0.000 8.421" Properties=species:S:1:pos:R:3 pbc="T T T"
Be 0.000 1.491 0.876
Be 1.291 0.746 7.546
P 0.000 1.491 5.727
P 1.291 0.746 2.694
```

## Properties
**Calculated total energy**: -4.140 eV/atom
**Calculated formation energy**: 0.428 eV/atom

The following is a PBE calculation of crystalline Be5P at its relaxed geometry, from Alexandria.

extended XYZ file:
```
6
Lattice="4.590 -1.175 0.000 4.590 1.175 0.000 -2.253 0.000 5.308" Properties=species:S:1:pos:R:3 pbc="T T T"
Be 0.000 0.000 0.000
Be -1.098 0.000 3.451
Be 1.142 0.000 3.741
Be 4.771 0.000 1.946
Be 4.325 0.000 5.149
P 2.411 0.000 1.828
```

## Properties
**Calculated total energy**: -3.745 eV/atom
**Calculated formation energy**: 0.262 eV/atom

The following is a PBE calculation of crystalline BeP at its relaxed geometry, from Alexandria.

extended XYZ file:
```
4
Lattice="3.669 0.000 0.000 1.806 3.195 0.000 1.670 -0.762 4.697" Properties=species:S:1:pos:R:3 pbc="T T T"
Be 1.269 0.544 1.542
Be 5.876 1.889 3.155
P 3.132 1.638 1.062
P 4.013 0.795 3.635
```

## Properties
**Calculated total energy**: -4.769 eV/atom
**Calculated formation energy**: -0.201 eV/atom

The following is a PBE calculation of crystalline BeP5 at its relaxed geometry, from Alexandria.

extended XYZ file:
```
6
Lattice="5.681 -1.354 0.000 5.681 1.354 0.000 -1.546 0.000 6.878" Properties=species:S:1:pos:R:3 pbc="T T T"
Be 0.000 0.000 0.000
P 2.185 0.000 0.004
P 1.514 0.000 4.835
P 3.694 0.000 5.049
P 5.104 0.000 1.811
P 8.879 0.000 1.547
```

## Properties
**Calculated total energy**: -4.812 eV/atom
**Calculated formation energy**: 0.318 eV/atom

The following is a PBE calculation of crystalline BeP at its relaxed geometry, from Alexandria.

extended XYZ file:
```
12
Lattice="6.070 0.000 0.000 0.000 6.070 0.000 0.000 0.000 6.070" Properties=species:S:1:pos:R:3 pbc="T T T"
Be 0.000 1.518 3.035
Be 0.000 4.553 3.035
Be 1.518 3.035 0.000
Be 3.035 0.000 1.518
Be 3.035 0.000 4.553
Be 4.553 3.035 0.000
P 0.000 3.035 1.518
P 0.000 3.035 4.553
P 1.518 0.000 3.035
P 3.035 1.518 0.000
P 3.035 4.553 0.000
P 4.553 0.000 3.035
```

## Properties
**Calculated total energy**: -4.335 eV/atom
**Calculated formation energy**: 0.233 eV/atom

The following is a PBE calculation of crystalline BeP at its relaxed geometry, from Alexandria.

extended XYZ file:
```
4
Lattice="4.704 -1.606 0.000 4.704 1.606 0.000 -1.163 0.000 3.212" Properties=species:S:1:pos:R:3 pbc="T T T"
Be 1.372 0.000 0.138
Be 6.872 0.000 3.074
P 3.039 0.000 1.646
P 5.205 0.000 1.566
```

## Properties
**Calculated total energy**: -4.420 eV/atom
**Calculated formation energy**: 0.148 eV/atom

The following is a PBE calculation of crystalline BeP5 at its relaxed geometry, from Alexandria.

extended XYZ file:
```
6
Lattice="1.680 -5.275 0.000 1.680 5.275 0.000 0.000 0.000 4.775" Properties=species:S:1:pos:R:3 pbc="T T T"
Be 0.000 0.000 0.000
P 0.000 0.000 2.387
P 1.680 1.794 0.000
P 1.680 1.797 2.387
P 1.680 -1.794 0.000
P 1.680 -1.797 2.387
```

## Properties
**Calculated total energy**: -4.939 eV/atom
**Calculated formation energy**: 0.190 eV/atom

The following is a PBE calculation of crystalline BeP2 at its relaxed geometry, from Alexandria.

extended XYZ file:
```
6
Lattice="1.250 -7.244 0.000 1.250 7.244 0.000 0.000 0.000 4.407" Properties=species:S:1:pos:R:3 pbc="T T T"
Be 1.250 4.831 3.305
Be 1.250 -4.831 1.102
P 1.250 4.386 1.102
P 1.250 0.444 1.102
P 1.250 -0.444 3.305
P 1.250 -4.386 3.305
```

## Properties
**Calculated total energy**: -4.666 eV/atom
**Calculated formation energy**: 0.183 eV/atom